Compound: Ba12As3Se5
Source: the Alexandria database
Functional: GGA-PBE
Structure: optimized geometry

The space group is Ia-3d (No. 230) and the conventional cell measures 19.2614, 19.2614 and 19.2614 Å, with angles of 90.00, 90.00 and 90.00 degrees. The distinct sites, in fractional coordinates, are Ba at (0.0178, 0.0686, 0.6543), As at (0.0000, 0.2500, 0.1250), Se at (0.0000, 0.0000, 0.0000) and Se at (0.0000, 0.2500, 0.3750).

For the density of states at the Fermi level, the calculation gives 0.6411 states/eV/atom. The value obtained for the uncorrected formation energy is -1.20 eV/atom. The value obtained for the calculated density is 4215 kg/m³. The total magnetic moment comes out at 0.000 μB per cell. As for the electronic total energy: -3.921 eV/atom.

Compound: Zr2TaW
Source: the Alexandria database
Functional: GGA-PBE
Structure: optimized geometry

The space group is Pmmm (No. 47) and the conventional cell measures 3.3583, 4.7588 and 4.8531 Å, with angles of 90.00, 90.00 and 90.00 degrees. The distinct sites, in fractional coordinates, are Zr at (0.0000, 0.0000, 0.0000), Zr at (0.5000, 0.5000, 0.0000), Ta at (0.0000, 0.5000, 0.5000) and W at (0.5000, 0.0000, 0.5000).

For the density of states at the Fermi level, the calculation gives 1.3594 states/eV/atom. Its energy of formation from the pure elements is 173 meV/atom. The value obtained for the calculated density is 11716 kg/m³. The energy above the most stable polymorph in this dataset comes out at 113 meV/atom. The total magnetic moment comes out at 0.000 μB per cell. As for the electronic total energy: -10.303 eV/atom.

Compound: UTeH2
Source: the Alexandria database
Functional: GGA-PBE
Structure: optimized geometry

The space group is P4/mmm (No. 123) and the conventional cell measures 3.1103, 3.1103 and 6.4660 Å, with angles of 90.00, 90.00 and 90.00 degrees. The distinct sites, in fractional coordinates, are U at (0.0000, 0.0000, 0.0000), Te at (0.0000, 0.0000, 0.5000) and H at (0.5000, 0.5000, 0.1431).

For the density of states at the Fermi level, the calculation gives 0.9111 states/eV/atom. The value obtained for the calculated density is 9760 kg/m³. The energy above the most stable polymorph in this dataset comes out at 457 meV/atom. The total magnetic moment comes out at 3.307 μB per cell. As for the electronic total energy: -5.288 eV/atom.

Compound: BeNbRh
Source: the Alexandria database
Functional: GGA-PBE
Structure: optimized geometry

The space group is P4mm (No. 99) and the conventional cell measures 2.8477, 2.8477 and 9.9707 Å, with angles of 90.00, 90.00 and 90.00 degrees. The distinct sites, in fractional coordinates, are Be at (0.0000, 0.0000, 0.0000), Be at (0.0000, 0.0000, 0.2541), Nb at (0.0000, 0.0000, 0.6732), Nb at (0.5000, 0.5000, 0.4384), Rh at (0.5000, 0.5000, 0.1390) and Rh at (0.5000, 0.5000, 0.8612).

For the density of states at the Fermi level, the calculation gives 0.8193 states/eV/atom. Its energy of formation from the pure elements is -386 meV/atom. The value obtained for the calculated density is 8413 kg/m³. The energy above the most stable polymorph in this dataset comes out at 90 meV/atom. The total magnetic moment comes out at 0.000 μB per cell. As for the electronic total energy: -7.435 eV/atom.